# Zn6FeO6, optimized geometry, DFT GGA+U
# * calculated total energy: -55.1 eV/cell
# * space group: No. 200
data_Zn6FeO6
_chemical_formula_sum 'Zn6 Fe1 O6'
_cell_length_a 5.7186
_cell_length_b 5.7186
_cell_length_c 5.7186
_cell_angle_alpha 90.00
_cell_angle_beta 90.00
_cell_angle_gamma 90.00
_symmetry_space_group_name_H-M 'P 1'
_symmetry_Int_Tables_number 1
loop_
_symmetry_equiv_pos_as_xyz
'x,y,z'
loop_
_atom_site_label
_atom_site_type_symbol
_atom_site_fract_x
_atom_site_fract_y
_atom_site_fract_z
_atom_site_occupancy
O1 O 0.0000 0.5000 0.2514 1
O2 O 0.5000 0.7486 0.0000 1
Zn1 Zn 0.5000 0.0000 0.2499 1
Zn2 Zn 0.0000 0.7501 0.5000 1
O3 O 0.7486 0.0000 0.5000 1
O4 O 0.2514 0.0000 0.5000 1
Fe1 Fe 0.0000 0.0000 0.0000 1
O5 O 0.5000 0.2514 0.0000 1
Zn3 Zn 0.2499 0.5000 0.0000 1
Zn4 Zn 0.5000 0.0000 0.7501 1
O6 O 0.0000 0.5000 0.7486 1
Zn5 Zn 0.7501 0.5000 0.0000 1
Zn6 Zn 0.0000 0.2499 0.5000 1